Entry P
Crystalline CaAg2W at its relaxed geometry. Source: Alexandria, functional PBE-GGA.

Unit cell a=2.8486 b=4.2172 c=6.5819 alpha=90.00 beta=90.09 gamma=90.00
Fractional coordinates of all 4 atoms:
Ca (0.0000, 0.0000, 0.0000)
Ag (0.5000, 0.5000, 0.2861)
Ag (0.5000, 0.5000, 0.7139)
W (0.0000, 0.0000, 0.5000)

Calculated values
N(E_F) = 0.875 states/eV/atom

Entry Q
Crystalline CaAg2W at its relaxed geometry. Source: Alexandria, functional PBE-GGA.

Unit cell a=5.7223 b=5.7223 c=5.3192 alpha=111.96 beta=111.96 gamma=28.72
Fractional coordinates of all 4 atoms:
Ca (0.0000, 0.0000, 0.0000)
Ag (0.4924, 0.4924, 0.5034)
Ag (0.7586, 0.7586, 0.1034)
W (0.2349, 0.2349, 0.5781)

Calculated values
N(E_F) = 0.758 states/eV/atom

The least stable of them is entry Q.

Entry P
Crystalline CaAg2W at its relaxed geometry. Source: Alexandria, functional PBE-GGA.

Unit cell a=5.0064 b=5.0064 c=6.0012 alpha=95.56 beta=95.56 gamma=32.80
Fractional coordinates of all 4 atoms:
Ca (0.0000, 0.0000, 0.0000)
Ag (0.2427, 0.2427, 0.7090)
Ag (0.7573, 0.7573, 0.2910)
W (0.5000, 0.5000, 0.5000)

Calculated values
N(E_F) = 1.084 states/eV/atom

Entry Q
Crystalline CaAg2W at its relaxed geometry. Source: Alexandria, functional PBE-GGA.

Unit cell a=5.3431 b=5.3431 c=2.8078 alpha=90.00 beta=90.00 gamma=107.63
Fractional coordinates of all 4 atoms:
Ca (0.0000, 0.0000, 0.0000)
Ag (0.0000, 0.5000, 0.5000)
Ag (0.5000, 0.0000, 0.5000)
W (0.5000, 0.5000, 0.0000)

Calculated values
N(E_F) = 0.912 states/eV/atom

Entry R
Crystalline CaAg2W at its relaxed geometry. Source: Alexandria, functional PBE-GGA.

Unit cell a=2.9214 b=2.9214 c=9.0773 alpha=90.00 beta=90.00 gamma=90.13
Fractional coordinates of all 4 atoms:
Ca (0.0000, 0.0000, 0.0000)
Ag (0.0000, 0.0000, 0.5072)
Ag (0.5000, 0.5000, 0.2743)
W (0.5000, 0.5000, 0.7348)

Calculated values
N(E_F) = 0.590 states/eV/atom

Entry S
Crystalline CaAg2W at its relaxed geometry. Source: Alexandria, functional PBE-GGA.

Unit cell a=4.8574 b=4.8574 c=4.8574 alpha=60.00 beta=60.00 gamma=60.00
Fractional coordinates of all 4 atoms:
Ca (0.0000, 0.0000, 0.0000)
Ag (0.5000, 0.5000, 0.5000)
Ag (0.7500, 0.7500, 0.7500)
W (0.2500, 0.2500, 0.2500)

Calculated values
N(E_F) = 0.883 states/eV/atom

The least stable of them is entry S.

Entry P
Crystalline Ca2AgW2 at its relaxed geometry. Source: Alexandria, functional PBE-GGA.

Unit cell a=8.7429 b=8.7429 c=3.1473 alpha=90.00 beta=90.00 gamma=90.00
Fractional coordinates of all 10 atoms:
Ca (0.1996, 0.3004, 0.0000)
Ca (0.3004, 0.8004, 0.0000)
Ca (0.6996, 0.1996, 0.0000)
Ca (0.8004, 0.6996, 0.0000)
Ag (0.0000, 0.0000, 0.5000)
Ag (0.5000, 0.5000, 0.5000)
W (0.0914, 0.5914, 0.5000)
W (0.4086, 0.0914, 0.5000)
W (0.5914, 0.9086, 0.5000)
W (0.9086, 0.4086, 0.5000)

Calculated values
N(E_F) = 1.048 states/eV/atom

Entry Q
Crystalline Ca2AgW2 at its relaxed geometry. Source: Alexandria, functional PBE-GGA.

Unit cell a=7.6890 b=7.6890 c=7.6890 alpha=149.34 beta=149.34 gamma=43.91
Fractional coordinates of all 5 atoms:
Ca (0.2500, 0.7500, 0.5000)
Ca (0.7500, 0.2500, 0.5000)
Ag (0.0000, 0.0000, 0.0000)
W (0.4222, 0.4222, 0.0000)
W (0.5778, 0.5778, 0.0000)

Calculated values
N(E_F) = 0.917 states/eV/atom

The least stable of them is entry Q.

Entry P
Crystalline CaYAg2 at its relaxed geometry. Source: Alexandria, functional PBE-GGA.

Unit cell a=3.7233 b=3.7233 c=7.4840 alpha=90.00 beta=90.00 gamma=90.00
Fractional coordinates of all 4 atoms:
Ca (0.0000, 0.0000, 0.0000)
Y (0.5000, 0.5000, 0.3663)
Ag (0.0000, 0.0000, 0.5756)
Ag (0.5000, 0.5000, 0.7710)

Calculated values
N(E_F) = 0.480 states/eV/atom

Entry Q
Crystalline CaYAg2 at its relaxed geometry. Source: Alexandria, functional PBE-GGA.

Unit cell a=5.8321 b=5.8321 c=5.2830 alpha=103.93 beta=103.93 gamma=34.92
Fractional coordinates of all 4 atoms:
Ca (0.0000, 0.0000, 0.0000)
Y (0.2113, 0.2113, 0.6191)
Ag (0.4655, 0.4655, 0.4743)
Ag (0.7508, 0.7508, 0.1499)

Calculated values
N(E_F) = 0.659 states/eV/atom

Entry R
Crystalline CaYAg2 at its relaxed geometry. Source: Alexandria, functional PBE-GGA.

Unit cell a=6.6530 b=6.6530 c=6.6530 alpha=106.57 beta=106.57 gamma=115.44
Fractional coordinates of all 8 atoms:
Ca (0.0000, 0.0000, 0.0000)
Ca (0.7500, 0.2500, 0.5000)
Y (0.2500, 0.7500, 0.5000)
Y (0.5000, 0.5000, 0.0000)
Ag (0.1291, 0.6250, 0.0041)
Ag (0.3750, 0.3791, 0.5041)
Ag (0.6209, 0.1250, 0.9959)
Ag (0.8750, 0.8709, 0.4959)

Calculated values
N(E_F) = 0.533 states/eV/atom

The least stable of them is entry R.

Entry P
Crystalline CaYAg2 at its relaxed geometry. Source: Alexandria, functional PBE-GGA.

Unit cell a=4.2104 b=4.2104 c=7.7469 alpha=105.55 beta=105.55 gamma=59.52
Fractional coordinates of all 4 atoms:
Ca (0.0000, 0.0000, 0.0000)
Y (0.5000, 0.5000, 0.5000)
Ag (0.2468, 0.2468, 0.7403)
Ag (0.7532, 0.7532, 0.2597)

Calculated values
N(E_F) = 0.357 states/eV/atom

Entry Q
Crystalline CaYAg2 at its relaxed geometry. Source: Alexandria, functional PBE-GGA.

Unit cell a=6.7382 b=6.7382 c=6.7382 alpha=152.34 beta=129.22 gamma=58.80
Fractional coordinates of all 4 atoms:
Ca (0.0000, 0.0000, 0.0000)
Y (0.5000, 0.5000, 0.0000)
Ag (0.2511, 0.2511, 0.0000)
Ag (0.7489, 0.7489, 0.0000)

Calculated values
N(E_F) = 0.779 states/eV/atom

Entry R
Crystalline CaYAg2 at its relaxed geometry. Source: Alexandria, functional PBE-GGA.

Unit cell a=5.1795 b=5.1795 c=5.1795 alpha=60.00 beta=60.00 gamma=60.00
Fractional coordinates of all 4 atoms:
Ca (0.0000, 0.0000, 0.0000)
Y (0.5000, 0.5000, 0.5000)
Ag (0.2500, 0.2500, 0.2500)
Ag (0.7500, 0.7500, 0.7500)

Calculated values
N(E_F) = 0.919 states/eV/atom

Entry S
Crystalline CaYAg2 at its relaxed geometry. Source: Alexandria, functional PBE-GGA.

Unit cell a=6.0165 b=6.0165 c=6.0165 alpha=137.24 beta=137.24 gamma=62.07
Fractional coordinates of all 4 atoms:
Ca (0.0000, 0.0000, 0.0000)
Y (0.2500, 0.7500, 0.5000)
Ag (0.5000, 0.5000, 0.0000)
Ag (0.7500, 0.2500, 0.5000)

Calculated values
N(E_F) = 0.885 states/eV/atom

The least stable of them is entry Q.

Entry P
Crystalline CaYAg2 at its relaxed geometry. Source: Alexandria, functional PBE-GGA.

Unit cell a=6.3456 b=6.3456 c=6.3456 alpha=147.38 beta=132.85 gamma=58.51
Fractional coordinates of all 4 atoms:
Ca (0.0000, 0.0000, 0.0000)
Y (0.2906, 0.7906, 0.5000)
Ag (0.5341, 0.5341, 0.0000)
Ag (0.7415, 0.2415, 0.5000)

Calculated values
N(E_F) = 0.681 states/eV/atom

Entry Q
Crystalline CaYAg2 at its relaxed geometry. Source: Alexandria, functional PBE-GGA.

Unit cell a=3.6775 b=3.6724 c=7.4064 alpha=90.00 beta=90.17 gamma=90.00
Fractional coordinates of all 4 atoms:
Ca (0.0000, 0.0000, 0.0000)
Y (0.0000, 0.0000, 0.5000)
Ag (0.4999, 0.5000, 0.2698)
Ag (0.5001, 0.5000, 0.7302)

Calculated values
N(E_F) = 0.693 states/eV/atom

The least stable of them is entry P.

Entry P
Crystalline CaYAg2 at its relaxed geometry. Source: Alexandria, functional PBE-GGA.

Unit cell a=4.2667 b=4.3219 c=6.0875 alpha=90.00 beta=90.84 gamma=90.00
Fractional coordinates of all 4 atoms:
Ca (0.0000, 0.0000, 0.0000)
Y (0.5000, 0.5000, 0.5000)
Ag (0.0000, 0.0000, 0.5000)
Ag (0.5000, 0.5000, 0.0000)

Calculated values
N(E_F) = 0.559 states/eV/atom

Entry Q
Crystalline CaYAg2 at its relaxed geometry. Source: Alexandria, functional PBE-GGA.

Unit cell a=5.0509 b=5.0509 c=5.0509 alpha=60.00 beta=60.00 gamma=60.00
Fractional coordinates of all 4 atoms:
Ca (0.0000, 0.0000, 0.0000)
Y (0.2500, 0.2500, 0.2500)
Ag (0.5000, 0.5000, 0.5000)
Ag (0.7500, 0.7500, 0.7500)

Calculated values
N(E_F) = 0.869 states/eV/atom

The least stable of them is entry Q.

Entry P
Crystalline CaYAg at its relaxed geometry. Source: Alexandria, functional PBE-GGA.

Unit cell a=5.0993 b=5.0993 c=5.0993 alpha=60.00 beta=60.00 gamma=60.00
Fractional coordinates of all 3 atoms:
Ca (0.0000, 0.0000, 0.0000)
Y (0.5000, 0.5000, 0.5000)
Ag (0.2500, 0.2500, 0.2500)

Calculated values
N(E_F) = 1.766 states/eV/atom

Entry Q
Crystalline CaYAg at its relaxed geometry. Source: Alexandria, functional PBE-GGA.

Unit cell a=5.0799 b=5.0799 c=3.9131 alpha=90.00 beta=90.00 gamma=120.00
Fractional coordinates of all 3 atoms:
Ca (0.0000, 0.0000, 0.0000)
Y (0.6667, 0.3333, 0.4711)
Ag (0.3333, 0.6667, 0.6956)

Calculated values
N(E_F) = 1.229 states/eV/atom

The least stable of them is entry Q.